No. 1
Ag2AsSe4 | Alexandria via LeMat-Bulk | GGA-PBE | optimized geometry; energy relative to the elements, uncorrected = 0.08 eV/atom; E_tot = -3.393 eV per atom
1.0
6.835 0.000 0.000
0.000 6.835 0.000
0.000 0.000 4.718
Ag As Se
2 1 4
Cartesian
0.000 3.417 0.000
3.417 0.000 0.000
0.000 0.000 0.000
1.458 1.458 1.147
1.458 5.377 3.571
5.377 1.458 3.571
5.377 5.377 1.147

No. 2
AgAsSe | Alexandria via LeMat-Bulk | GGA-PBE | optimized geometry; energy relative to the elements, uncorrected = 0.27 eV/atom; E_tot = -3.387 eV per atom
1.0
0.000 1.996 8.306
1.974 0.000 8.306
1.974 1.996 0.000
Ag As Se
1 1 1
Cartesian
0.000 0.000 0.000
1.974 1.996 10.501
1.974 1.996 5.833